## Rb2TaHOs (PBE)

Data for Rb2TaHOs after structural relaxation.

Raw total energy in eV per atom: -3.9645
ρ in kg/m³: 8190
Total moment in μB/cell: 0.453
Space-group type: P4/mmm, No. 123
V in Å³/cell: 110.1

abc: 4.1470 6.4032 4.1470
angles: 90.00 90.00 90.00
Last column: nearest neighbours and their distance in Å.
Sites, in units of the cell vectors:
1 H 0.0000 0.0000 0.0000  4 Rb 2.07
2 Os 0.0000 0.5000 0.0000  4 Ta 2.93, 2 H 3.20
3 Rb 0.0000 0.0000 0.5000  2 H 2.07
4 Rb 0.5000 0.0000 0.0000  2 H 2.07
5 Ta 0.5000 0.5000 0.5000  4 Os 2.93

=====

## RbTaHOs2 (PBE)

Data for RbTaHOs2 after structural relaxation.

Raw total energy in eV per atom: -6.1024
ρ in kg/m³: 13811
Total moment in μB/cell: 0.000
Space-group type: P4/mmm, No. 123
V in Å³/cell: 77.9

abc: 4.4032 4.0179 4.4032
angles: 90.00 90.00 90.00
Last column: nearest neighbours and their distance in Å.
Sites, in units of the cell vectors:
1 H 0.0000 0.0000 0.0000  2 Ta 2.01, 4 Os 2.20
2 Os 0.0000 0.0000 0.5000  2 H 2.20
3 Os 0.5000 0.0000 0.0000  2 H 2.20
4 Rb 0.5000 0.5000 0.5000  8 Os 2.98, 4 Ta 3.11
5 Ta 0.0000 0.5000 0.0000  2 H 2.01

=====

## ReHOs2 (PBE)

Data for ReHOs2 after structural relaxation.

Raw total energy in eV per atom: -9.1420
ρ in kg/m³: 19695
Total moment in μB/cell: 0.000
Space-group type: I-42d, No. 122
V in Å³/cell: 95.7

abc: 6.1364 6.1364 5.0289
angles: 52.40 52.40 90.00
Last column: nearest neighbours and their distance in Å.
Sites, in units of the cell vectors:
1 Re 0.0000 0.0000 0.0000  2 H 2.54, 8 Os 2.62-2.70
2 Re 0.7500 0.2500 0.5000  2 H 2.54, 8 Os 2.62-2.70
3 Os 0.5287 0.1250 0.2500  2 H 1.91
4 Os 0.2213 0.6250 0.2500  2 H 1.91
5 Os 0.3750 0.4713 0.7500  2 H 1.91
6 Os 0.8750 0.7787 0.7500  2 H 1.91
7 H 0.5000 0.5000 0.0000  4 Os 1.91
8 H 0.2500 0.7500 0.5000  4 Os 1.91

=====

## Re2HOs2 (PBE)

Data for Re2HOs2 after structural relaxation.

Raw total energy in eV per atom: -9.2336
ρ in kg/m³: 15937
Total moment in μB/cell: 0.000
Space-group type: P4/mbm, No. 127
V in Å³/cell: 157.1

abc: 7.5679 7.5679 2.7430
angles: 90.00 90.00 90.00
Last column: nearest neighbours and their distance in Å.
Sites, in units of the cell vectors:
1 Re 0.1540 0.6540 0.5000  6 Os 2.59-2.63, 2 Re 2.74
2 Re 0.6540 0.8460 0.5000  6 Os 2.59-2.63, 2 Re 2.74
3 Re 0.8460 0.3460 0.5000  6 Os 2.59-2.63, 2 Re 2.74
4 Re 0.3460 0.1540 0.5000  6 Os 2.59-2.63, 2 Re 2.74
5 Os 0.3638 0.8638 0.0000  6 Re 2.59-2.63, 2 Os 2.74
6 Os 0.8638 0.6362 0.0000  6 Re 2.59-2.63, 2 Os 2.74
7 Os 0.6362 0.1362 0.0000  6 Re 2.59-2.63, 2 Os 2.74
8 Os 0.1362 0.3638 0.0000  6 Re 2.59-2.63, 2 Os 2.74
9 H 0.0000 0.0000 0.0000  2 H 2.74, 4 Os 2.94
10 H 0.5000 0.5000 0.0000  2 H 2.74, 4 Os 2.94

=====

## ReHOs2 (PBE)

Data for ReHOs2 after structural relaxation.

Raw total energy in eV per atom: -8.7580
ρ in kg/m³: 18106
Total moment in μB/cell: 0.000
Space-group type: Fm-3m, No. 225
V in Å³/cell: 52.1

abc: 4.1913 4.1913 4.1913
angles: 60.00 60.00 60.00
Last column: nearest neighbours and their distance in Å.
Sites, in units of the cell vectors:
1 Re 0.5000 0.5000 0.5000  8 Os 2.57
2 Os 0.2500 0.2500 0.2500  4 H 2.57, 4 Re 2.57
3 Os 0.7500 0.7500 0.7500  4 Re 2.57, 4 H 2.57
4 H 0.0000 0.0000 0.0000  8 Os 2.57

=====

## ReH3Os (PBE)

Data for ReH3Os after structural relaxation.

Raw total energy in eV per atom: -5.9417
ρ in kg/m³: 15861
Total moment in μB/cell: 0.000
Space-group type: Pm-3m, No. 221
V in Å³/cell: 39.7

abc: 3.4121 3.4121 3.4121
angles: 90.00 90.00 90.00
Last column: nearest neighbours and their distance in Å.
Sites, in units of the cell vectors:
1 Re 0.5000 0.5000 0.5000  12 H 2.41
2 Os 0.0000 0.0000 0.0000  6 H 1.71
3 H 0.0000 0.5000 0.0000  2 Os 1.71
4 H 0.0000 0.0000 0.5000  2 Os 1.71
5 H 0.5000 0.0000 0.0000  2 Os 1.71

=====

## ReH3Os (PBE)

Data for ReH3Os after structural relaxation.

Raw total energy in eV per atom: -5.8093
ρ in kg/m³: 15544
Total moment in μB/cell: 0.661
Space-group type: Pm-3m, No. 221
V in Å³/cell: 40.5

abc: 3.4352 3.4352 3.4352
angles: 90.00 90.00 90.00
Last column: nearest neighbours and their distance in Å.
Sites, in units of the cell vectors:
1 Re 0.0000 0.0000 0.0000  6 H 1.72
2 Os 0.5000 0.5000 0.5000  12 H 2.43
3 H 0.0000 0.5000 0.0000  2 Re 1.72
4 H 0.0000 0.0000 0.5000  2 Re 1.72
5 H 0.5000 0.0000 0.0000  2 Re 1.72

=====

## ReH2Os2 (PBE)

Data for ReH2Os2 after structural relaxation.

Raw total energy in eV per atom: -8.0222
ρ in kg/m³: 18904
Total moment in μB/cell: 0.000
Space-group type: I4/mmm, No. 139
V in Å³/cell: 50.0

abc: 2.8519 2.8519 6.4644
angles: 77.26 77.26 90.00
Last column: nearest neighbours and their distance in Å.
Sites, in units of the cell vectors:
1 Re 0.0000 0.0000 0.0000  8 Os 2.70, 4 Re 2.85
2 Os 0.3535 0.3535 0.2929  4 H 1.91
3 Os 0.6465 0.6465 0.7071  4 H 1.91
4 H 0.7500 0.2500 0.5000  4 Os 1.91, 4 H 2.02
5 H 0.2500 0.7500 0.5000  4 Os 1.91, 4 H 2.02

=====

## Re2HOs2 (PBE)

Data for Re2HOs2 after structural relaxation.

Raw total energy in eV per atom: -8.8997
ρ in kg/m³: 14672
Total moment in μB/cell: 0.000
Space-group type: I4/mmm, No. 139
V in Å³/cell: 85.3

abc: 3.8647 3.8647 6.3327
angles: 72.23 72.23 90.00
Last column: nearest neighbours and their distance in Å.
Sites, in units of the cell vectors:
1 Re 0.7500 0.2500 0.5000  4 Os 2.53, 4 Re 2.73
2 Re 0.2500 0.7500 0.5000  4 Os 2.53, 4 Re 2.73
3 Os 0.3928 0.3928 0.2143  1 Os 2.45, 4 Re 2.53
4 Os 0.6072 0.6072 0.7857  1 Os 2.45, 4 Re 2.53
5 H 0.0000 0.0000 0.0000  8 Os 2.99

=====

## ReHOs (PBE)

Data for ReHOs after structural relaxation.

Raw total energy in eV per atom: -8.4849
ρ in kg/m³: 17831
Total moment in μB/cell: 0.000
Space-group type: Pnma, No. 62
V in Å³/cell: 140.6

abc: 4.6437 5.7461 5.2693
angles: 90.00 90.00 90.00
Last column: nearest neighbours and their distance in Å.
Sites, in units of the cell vectors:
1 Re 0.2500 0.7419 0.7401  2 H 1.81-1.90
2 Re 0.7500 0.2419 0.7599  2 H 1.81-1.90
3 Re 0.7500 0.2581 0.2599  2 H 1.81-1.90
4 Re 0.2500 0.7581 0.2401  2 H 1.81-1.90
5 Os 0.7500 0.6622 0.4312  1 H 2.10
6 Os 0.2500 0.1622 0.0688  1 H 2.10
7 Os 0.7500 0.8378 0.9312  1 H 2.10
8 Os 0.2500 0.3378 0.5688  1 H 2.10
9 H 0.2500 0.9762 0.5107  2 Re 1.81-1.90
10 H 0.2500 0.5238 0.0107  2 Re 1.81-1.90
11 H 0.7500 0.0238 0.4893  2 Re 1.81-1.90
12 H 0.7500 0.4762 0.9893  2 Re 1.81-1.90

=====

## Re2HOsRh (PBE)

Data for Re2HOsRh after structural relaxation.

Raw total energy in eV per atom: -9.2581
ρ in kg/m³: 18344
Total moment in μB/cell: 0.000
Space-group type: P4/mmm, No. 123
V in Å³/cell: 60.3

abc: 3.9269 3.9269 3.9128
angles: 90.00 90.00 90.00
Last column: nearest neighbours and their distance in Å.
Sites, in units of the cell vectors:
1 Re 0.0000 0.5000 0.0000  2 H 1.96
2 Re 0.5000 0.0000 0.0000  2 H 1.96
3 Os 0.5000 0.5000 0.5000  8 Re 2.77, 4 Rh 2.78
4 Rh 0.0000 0.0000 0.5000  2 H 1.96
5 H 0.0000 0.0000 0.0000  2 Rh 1.96, 4 Re 1.96

=====

## ReHOs2Rh (PBE)

Data for ReHOs2Rh after structural relaxation.

Raw total energy in eV per atom: -8.9601
ρ in kg/m³: 18619
Total moment in μB/cell: 0.000
Space-group type: P4/mmm, No. 123
V in Å³/cell: 59.8

abc: 3.9288 3.9288 3.8747
angles: 90.00 90.00 90.00
Last column: nearest neighbours and their distance in Å.
Sites, in units of the cell vectors:
1 Re 0.5000 0.5000 0.5000  8 Os 2.76, 4 Rh 2.78
2 Os 0.0000 0.5000 0.0000  2 H 1.96
3 Os 0.5000 0.0000 0.0000  2 H 1.96
4 Rh 0.0000 0.0000 0.5000  2 H 1.94
5 H 0.0000 0.0000 0.0000  2 Rh 1.94, 4 Os 1.96

=====

## ReHOsRu2 (PBE)

Data for ReHOsRu2 after structural relaxation.

Raw total energy in eV per atom: -9.0211
ρ in kg/m³: 16287
Total moment in μB/cell: 0.000
Space-group type: P4/mmm, No. 123
V in Å³/cell: 59.1

abc: 3.8869 3.8869 3.9112
angles: 90.00 90.00 90.00
Last column: nearest neighbours and their distance in Å.
Sites, in units of the cell vectors:
1 Re 0.5000 0.5000 0.5000  4 Os 2.75, 8 Ru 2.76
2 Os 0.0000 0.0000 0.5000  2 H 1.96
3 H 0.0000 0.0000 0.0000  4 Ru 1.94, 2 Os 1.96
4 Ru 0.0000 0.5000 0.0000  2 H 1.94
5 Ru 0.5000 0.0000 0.0000  2 H 1.94

=====

## ReHOsRu2 (PBE)

Data for ReHOsRu2 after structural relaxation.

Raw total energy in eV per atom: -9.0096
ρ in kg/m³: 16288
Total moment in μB/cell: 0.000
Space-group type: P4/mmm, No. 123
V in Å³/cell: 59.1

abc: 3.8730 3.8730 3.9391
angles: 90.00 90.00 90.00
Last column: nearest neighbours and their distance in Å.
Sites, in units of the cell vectors:
1 Re 0.0000 0.0000 0.5000  2 H 1.97
2 Os 0.5000 0.5000 0.5000  4 Re 2.74, 8 Ru 2.76
3 H 0.0000 0.0000 0.0000  4 Ru 1.94, 2 Re 1.97
4 Ru 0.0000 0.5000 0.0000  2 H 1.94
5 Ru 0.5000 0.0000 0.0000  2 H 1.94